No. 1
Material: Zn3Ag
Method: DFT, SCAN
State: single point on PBEsol structure

The value obtained for the magnetization is 0.0 Bohr magnetons per cell. Its density is 8.6 Mg/m³. Its calculated total energy is -17.940 eV/atom. The formation energy is 0.038 eV/atom.

Cell: 8.6283 8.6283 2.7203 Å, 90.00 90.00 120.00°
Space group R-3m (No. 166, hexagonal axes)
Symmetry-distinct sites (fractional):
Zn  0.0000  0.5000  0.0000
Ag  0.0000  0.0000  0.0000

---

No. 2
Material: Sc2Al2Hg
Method: DFT, SCAN
State: single point on PBEsol structure

The value obtained for the magnetization is 0.0 Bohr magnetons per cell. Its density is 5.4 Mg/m³. Its calculated total energy is -22.593 eV/atom. The formation energy is -0.164 eV/atom. The value obtained for the energy above the most stable polymorph in this dataset is 382.8 meV per atom.

Cell: 3.6549 3.6549 15.8981 Å, 90.00 90.00 90.00°
Space group I4/mmm (No. 139)
Symmetry-distinct sites (fractional):
Sc  0.0000  0.0000  0.1005
Al  0.0000  0.5000  0.2500
Hg  0.0000  0.0000  0.5000